[1]
This record from the Alexandria database describes a geometry-optimized TbCe3Th4P8 structure. The functional is PBE.

Computed properties:
Energy of formation from the pure elements ... -1.55 eV/atom
Crystal system ... trigonal
Magnetic moment ... 1.09 μB per formula unit

Cell lengths 8.2295, 8.2128, 8.2293 Å; angles 120.07, 120.00, 90.00 degrees
Element x y z (fractional)
Tb (0.0000, 0.5000, 0.0000)
Ce (0.5000, 0.5000, 0.0000)
Ce (0.5000, 0.5000, 0.5000)
Ce (0.0000, 0.5000, 0.5000)
Th (0.5000, 0.0000, 0.0000)
Th (0.5000, 0.0000, 0.5000)
Th (0.0000, 0.0000, 0.0000)
Th (0.0000, 0.0000, 0.5000)
P (0.2481, 0.7457, 0.9976)
P (0.2481, 0.7457, 0.4962)
P (0.2512, 0.2535, 0.5023)
P (0.7495, 0.7457, 0.9976)
P (0.2505, 0.2543, 0.0024)
P (0.7488, 0.7465, 0.4977)
P (0.7519, 0.2543, 0.5038)
P (0.7519, 0.2543, 0.0024)

[2]
This record from the Alexandria database describes a geometry-optimized Tm3GaNi3 structure. The functional is PBE.

Computed properties:
Energy relative to the lowest polymorph listed for this composition ... 0 meV/atom
Energy of formation from the pure elements ... -0.56 eV/atom
Crystal system ... orthorhombic
Magnetic moment ... 0.00 μB per formula unit

Cell lengths 4.0781, 5.2802, 12.9776 Å; angles 90.00, 90.00, 112.72 degrees
Element x y z (fractional)
Tm (0.2103, 0.4206, 0.8958)
Tm (0.7897, 0.5794, 0.1042)
Tm (0.2103, 0.4206, 0.6042)
Tm (0.7897, 0.5794, 0.3958)
Tm (0.4927, 0.9855, 0.7500)
Tm (0.5073, 0.0145, 0.2500)
Ga (0.5000, 0.0000, 0.0000)
Ga (0.5000, 0.0000, 0.5000)
Ni (0.9202, 0.8403, 0.9096)
Ni (0.0798, 0.1597, 0.0904)
Ni (0.9202, 0.8403, 0.5904)
Ni (0.0798, 0.1597, 0.4096)
Ni (0.7859, 0.5718, 0.7500)
Ni (0.2141, 0.4282, 0.2500)

[3]
This record from the Alexandria database describes a geometry-optimized BaPaGe2Pt2 structure. The functional is PBE.

Computed properties:
Energy of formation from the pure elements ... -0.87 eV/atom
Crystal system ... trigonal
Magnetic moment ... 0.00 μB per formula unit

Cell lengths 4.5231, 4.5231, 8.0270 Å; angles 90.00, 90.00, 120.00 degrees
Element x y z (fractional)
Ba (0.0000, 0.0000, 0.0000)
Pa (0.0000, 0.0000, 0.5000)
Ge (0.6667, 0.3333, 0.2982)
Ge (0.3333, 0.6667, 0.7018)
Pt (0.6667, 0.3333, 0.6842)
Pt (0.3333, 0.6667, 0.3158)

[4]
This record from the Alexandria database describes a geometry-optimized ZnCoCl2 structure. The functional is PBE.

Computed properties:
Energy relative to the lowest polymorph listed for this composition ... 481 meV/atom
Crystal system ... tetragonal
Magnetic moment ... 1.83 μB per formula unit

Cell lengths 6.9497, 6.9497, 6.9497 Å; angles 150.61, 150.61, 42.05 degrees
Element x y z (fractional)
Zn (0.7500, 0.2500, 0.5000)
Co (0.5000, 0.5000, 0.0000)
Cl (0.0000, 0.0000, 0.0000)
Cl (0.2500, 0.7500, 0.5000)

[5]
This record from the Alexandria database describes a geometry-optimized K2NaPd structure. The functional is PBE.

Computed properties:
Energy of formation from the pure elements ... 0.11 eV/atom
Crystal system ... tetragonal
Magnetic moment ... 0.00 μB per formula unit

Cell lengths 11.6005, 11.6005, 8.6743 Å; angles 48.04, 48.04, 90.00 degrees
Element x y z (fractional)
Na (0.5000, 0.5000, 0.0000)
Na (0.2500, 0.7500, 0.5000)
K (0.7757, 0.1250, 0.2500)
K (0.9743, 0.6250, 0.2500)
K (0.3750, 0.2243, 0.7500)
K (0.8750, 0.0257, 0.7500)
Pd (0.0000, 0.0000, 0.0000)
Pd (0.7500, 0.2500, 0.5000)

[6]
This record from the Alexandria database describes a geometry-optimized LaMg2Bi structure. The functional is PBE.

Computed properties:
Energy of formation from the pure elements ... -0.42 eV/atom
Crystal system ... tetragonal
Magnetic moment ... 0.00 μB per formula unit

Cell lengths 5.1938, 4.6972, 4.6972 Å; angles 90.00, 90.00, 90.00 degrees
Element x y z (fractional)
Mg (0.0000, 0.0000, 0.5000)
Mg (0.0000, 0.5000, 0.0000)
Bi (0.5000, 0.0000, 0.0000)
La (0.5000, 0.5000, 0.5000)

Final energy (computed, eV per atom): -7.51 -5.39 -6.33 -2.88 -2.06 -3.42
Volume (computed, A^3/atom): 24.56 18.41 23.70 20.17 47.45 28.65